Entry 1:
PBE-GGA Ag2NF, optimized geometry; size of the total moment = 2.00 μB/cell; DOS(E_F) = 0.53 states/eV per cell; symmetry = No. 225; polymorph energy (0 for the lowest one) = 192 meV/atom
1.0
1.845 -3.265 1.895
-1.134 -3.922 -0.994
2.633 -2.466 -2.154
N Ag F
1 2 1
Direct
0.000 0.000 0.000
0.250 0.250 0.250
0.750 0.750 0.750
0.500 0.500 0.500

Entry 2:
PBE-GGA AgNF3, optimized geometry; size of the total moment = 0.98 μB/cell; DOS(E_F) = 0.78 states/eV per cell; symmetry = No. 221; polymorph energy (0 for the lowest one) = 681 meV/atom
1.0
-3.692 0.576 -1.007
-1.056 -0.282 3.712
0.480 3.817 0.426
N Ag F
1 1 3
Direct
0.000 0.000 0.000
0.500 0.500 0.500
0.000 0.500 0.000
0.000 0.000 0.500
0.500 0.000 0.000

Entry 3:
PBE-GGA AgN3F, optimized geometry; size of the total moment = 3.00 μB/cell; DOS(E_F) = 3.65 states/eV per cell; symmetry = No. 221
1.0
3.738 0.000 0.000
0.000 3.738 0.000
0.000 0.000 3.738
N Ag F
3 1 1
Direct
0.000 0.500 0.000
0.000 0.000 0.500
0.500 0.000 0.000
0.500 0.500 0.500
0.000 0.000 0.000

Entry 4:
PBE-GGA AgN3F12, optimized geometry; size of the total moment = 0.00 μB/cell; DOS(E_F) = 9.27 states/eV per cell; symmetry = No. 161
1.0
7.081 0.000 3.419
2.715 6.540 3.419
-1.703 -1.137 12.567
Ag N F
2 6 24
Direct
0.082 0.082 0.754
0.582 0.582 0.254
0.721 0.332 0.004
0.221 0.444 0.504
0.832 0.221 0.504
0.332 0.944 0.004
0.944 0.721 0.004
0.444 0.832 0.504
0.173 0.111 0.037
0.186 0.288 0.650
0.986 0.051 0.472
0.876 0.289 0.856
0.376 0.478 0.356
0.486 0.991 0.972
0.686 0.375 0.150
0.051 0.491 0.472
0.673 0.179 0.537
0.875 0.186 0.650
0.789 0.376 0.356
0.179 0.611 0.537
0.991 0.551 0.972
0.679 0.173 0.037
0.289 0.978 0.856
0.375 0.788 0.150
0.788 0.686 0.150
0.551 0.486 0.972
0.611 0.673 0.537
0.978 0.876 0.856
0.478 0.789 0.356
0.111 0.679 0.037
0.288 0.875 0.650
0.491 0.986 0.472

Energy relative to the elements, uncorrected for the records above, in order: 0.5349, 0.1992, 2.9725, -0.4231 eV per atom